Record 1
VASP calculation (PBE) on a geometry-optimized Ca7Mg2Zn3 structure.

Cell: 11.7753 11.7753 11.7753 Å, 34.08 34.08 34.08°
Fractional positions:
Mg (0.3338, 0.3338, 0.3338)
Mg (0.6662, 0.6662, 0.6662)
Zn (0.0000, 0.0000, 0.0000)
Zn (0.1722, 0.1722, 0.1722)
Zn (0.8278, 0.8278, 0.8278)
Ca (0.5000, 0.5000, 0.5000)
Ca (0.5846, 0.0747, 0.5846)
Ca (0.5846, 0.5846, 0.0747)
Ca (0.0747, 0.5846, 0.5846)
Ca (0.4154, 0.9253, 0.4154)
Ca (0.9253, 0.4154, 0.4154)
Ca (0.4154, 0.4154, 0.9253)

Energy of formation from the pure elements in eV per formula unit: 5.08
Space group: R-3m (166)

---

Record 2
VASP calculation (PBE) on a geometry-optimized Er2TmPb structure.

Cell: 5.1767 5.1767 6.3524 Å, 65.95 65.95 60.00°
Fractional positions:
Er (0.0535, 0.0535, 0.8395)
Er (0.2713, 0.2713, 0.1861)
Tm (0.4888, 0.4888, 0.5336)
Pb (0.6864, 0.6864, 0.9408)

Energy of formation from the pure elements in eV per formula unit: 0.25
Excess energy over the best structure of this formula in the dataset in meV/atom: 311.5
Space group: R3m (160)

---

Record 3
VASP calculation (PBE) on a geometry-optimized Ba2CaAgO4 structure.

Cell: 5.8394 5.8394 5.8394 Å, 101.41 113.65 113.65°
Site moments in Bohr magnetons follow the coordinates.
Fractional positions:
Ba (0.5000, 0.7500, 0.2500)  -0.01
Ba (0.0000, 0.0000, 0.0000)  0.02
Ca (0.5000, 0.2500, 0.7500)  0.01
Ag (0.0000, 0.5000, 0.5000)  0.34
O (0.5404, 0.3372, 0.3983)  0.14
O (0.0611, 0.2031, 0.6628)  0.14
O (0.9389, 0.6017, 0.1421)  0.14
O (0.4596, 0.8579, 0.7969)  0.14

Formation energy (no corrections) in eV per atom: -1.8631
Space group: I-4 (82)